Entry 1:
Computed, not measured: a relaxed structure of VInI2 at the PBE level of DFT.

Unit cell a=7.8413 b=7.8413 c=7.8413 alpha=90.00 beta=90.00 gamma=90.00
Space group Fm-3m (No. 225)
Asymmetric unit:
V 0.0000 0.0000 0.0000
In 0.0000 0.0000 0.5000
I 0.2500 0.2500 0.2500

Energy above the most stable polymorph in this dataset: 331 meV per atom
Total magnetic moment: 3.98 μB/f.u.
ΔE_f (raw): 0.296 eV/atom
Crystal system: cubic
Calculated total energy: -3.44 eV/atom

***

Entry 2:
Computed, not measured: a relaxed structure of NiBi at the PBE level of DFT.

Unit cell a=9.5298 b=9.5298 c=3.9468 alpha=90.00 beta=90.00 gamma=90.00
Space group I4/m (No. 87)
Asymmetric unit:
Ni 0.0785 0.4012 0.0000
Bi 0.1081 0.2228 0.5000

Total magnetic moment: 0.00 μB/f.u.
Crystal system: tetragonal
Calculated total energy: -4.73 eV/atom
Formation energy from the elements: 97 meV per atom

***

Entry 3:
Computed, not measured: a relaxed structure of Ba2TlCd3Au4 at the PBE level of DFT.

Unit cell a=5.0701 b=5.0701 c=10.8147 alpha=90.00 beta=90.00 gamma=90.00
Space group P-4m2 (No. 115)
Asymmetric unit:
Ba 0.0000 0.5000 0.2337
Tl 0.0000 0.0000 0.5000
Cd 0.0000 0.5000 0.8838
Cd 0.5000 0.5000 0.5000
Au 0.0000 0.0000 0.0000
Au 0.0000 0.5000 0.6290
Au 0.5000 0.5000 0.0000

Total magnetic moment: 0.00 μB/f.u.
Crystal system: tetragonal
Calculated total energy: -2.66 eV/atom
Formation energy from the elements: -453 meV per atom

***

Entry 4:
Computed, not measured: a relaxed structure of RbU2Cu2S6 at the PBE level of DFT.

Unit cell a=7.1530 b=7.3527 c=7.4656 alpha=91.21 beta=117.84 gamma=119.03
Space group P-1 (No. 2)
Asymmetric unit:
Rb 0.0000 0.0000 0.0000
U 0.3411 0.6699 0.0104
Cu 0.1298 0.6908 0.4326
S 0.1492 0.4701 0.2403
S 0.2324 0.3233 0.7608
S 0.4417 0.9175 0.7613

Total magnetic moment: 3.00 μB/f.u.
ΔE_f (raw): -1.011 eV/atom
Crystal system: triclinic
Calculated total energy: -6.15 eV/atom

***

Entry 5:
Computed, not measured: a relaxed structure of SrAcI2 at the PBE level of DFT.

Unit cell a=4.3339 b=4.3339 c=33.4463 alpha=90.00 beta=90.00 gamma=120.00
Space group R-3m (No. 166, hexagonal axes)
Asymmetric unit:
Sr 0.0000 0.0000 0.0000
Ac 0.0000 0.0000 0.5000
I 0.0000 0.0000 0.3967

Total magnetic moment: 0.16 μB/f.u.
ΔE_f (raw): -0.930 eV/atom
Crystal system: trigonal
Calculated total energy: -3.15 eV/atom

***

Entry 6:
Computed, not measured: a relaxed structure of InMo3S at the PBE level of DFT.

Unit cell a=4.4633 b=4.4633 c=4.4633 alpha=90.00 beta=90.00 gamma=90.00
Space group Pm-3m (No. 221)
Asymmetric unit:
In 0.0000 0.0000 0.0000
Mo 0.0000 0.5000 0.5000
S 0.5000 0.5000 0.5000

Energy above the most stable polymorph in this dataset: 0 meV per atom
Total magnetic moment: 0.00 μB/f.u.
ΔE_f (raw): 0.348 eV/atom
Crystal system: cubic
Calculated total energy: -7.52 eV/atom